Here is crystalline Dy3In4Co2 at its relaxed geometry from OQMD. Energies are from GGA-PBE.

extended XYZ file:
```
9
Lattice="-3.310 6.092 -4.205 -4.412 -6.567 1.777 -1.039 1.512 3.008" Properties=species:S:1:pos:R:3 pbc="T T T"
In -6.129 -2.712 -0.754
In -2.933 -3.844 0.919
In -3.072 -0.487 -0.816
In -4.197 2.628 -0.707
Dy -4.923 5.147 -2.225
Dy -6.260 0.444 -0.322
Dy -1.407 2.293 0.425
Co -4.564 -1.592 1.287
Co 0.000 0.000 0.000
```

Properties
- Volume: 201 Å³/f.u.
- E_tot: -4.557 eV/atom